# RbCd3B GGA-PBE relaxed
# VASP energy = -1.560 eV per atom
# Spin magnetization = 0.00 μB per formula unit
# ΔH_f (0 K) = 0.52 eV per atom
data_RbCd3B
_chemical_formula_sum 'Rb1 Cd3 B1'
_cell_length_a 4.983
_cell_length_b 4.983
_cell_length_c 4.983
_cell_angle_alpha 90.00
_cell_angle_beta 90.00
_cell_angle_gamma 90.00
_symmetry_space_group_name_H-M 'P m -3 m'
_symmetry_Int_Tables_number 221
_symmetry_space_group_name_Hall '-P 4 2 3'
loop_
_atom_site_label
_atom_site_type_symbol
_atom_site_fract_x
_atom_site_fract_y
_atom_site_fract_z
_atom_site_occupancy
Rb1 Rb 0.000 0.000 0.000 1
Cd1 Cd 0.000 0.500 0.500 1
B1 B 0.500 0.500 0.500 1

# Sn5Pd12S2 GGA-PBE relaxed
# VASP energy = -5.123 eV per atom
# Spin magnetization = 0.00 μB per formula unit
# Formation energy (no corrections) = -355.0 meV per atom
data_Sn5Pd12S2
_chemical_formula_sum 'Sn10 Pd24 S4'
_cell_length_a 11.537
_cell_length_b 8.745
_cell_length_c 6.944
_cell_angle_alpha 90.00
_cell_angle_beta 107.66
_cell_angle_gamma 90.00
_symmetry_space_group_name_H-M 'C 1 2/m 1'
_symmetry_Int_Tables_number 12
_symmetry_space_group_name_Hall '-C 2y'
loop_
_atom_site_label
_atom_site_type_symbol
_atom_site_fract_x
_atom_site_fract_y
_atom_site_fract_z
_atom_site_occupancy
Sn1 Sn 0.000 0.000 0.000 1
Sn2 Sn 0.185 0.500 0.083 1
Sn3 Sn 0.200 0.500 0.622 1
Pd1 Pd 0.004 0.500 0.269 1
Pd2 Pd 0.131 0.000 0.564 1
Pd3 Pd 0.132 0.223 0.861 1
Pd4 Pd 0.147 0.239 0.289 1
S1 S 0.000 0.225 0.500 1

# MgInAu2 GGA-PBE relaxed
# VASP energy = -3.103 eV per atom
# Spin magnetization = 0.00 μB per formula unit
# ΔH_f (0 K) = -0.38 eV per atom
data_MgInAu2
_chemical_formula_sum 'Mg1 In1 Au2'
_cell_length_a 3.371
_cell_length_b 4.468
_cell_length_c 5.578
_cell_angle_alpha 90.00
_cell_angle_beta 105.97
_cell_angle_gamma 90.00
_symmetry_space_group_name_H-M 'P 1 m 1'
_symmetry_Int_Tables_number 6
_symmetry_space_group_name_Hall 'P -2y'
loop_
_atom_site_label
_atom_site_type_symbol
_atom_site_fract_x
_atom_site_fract_y
_atom_site_fract_z
_atom_site_occupancy
Mg1 Mg 0.000 0.000 0.000 1
In1 In 0.289 0.500 0.605 1
Au1 Au 0.551 0.500 0.121 1
Au2 Au 0.727 0.000 0.463 1

# Rb2NaHg6Pt GGA-PBE relaxed
# VASP energy = -1.332 eV per atom
# Spin magnetization = 0.00 μB per formula unit
# ΔH_f (0 K) = -0.22 eV per atom
data_Rb2NaHg6Pt
_chemical_formula_sum 'Rb2 Na1 Hg6 Pt1'
_cell_length_a 7.4966
_cell_length_b 7.4966
_cell_length_c 6.4772
_cell_angle_alpha 90.00
_cell_angle_beta 90.00
_cell_angle_gamma 120.00
_symmetry_space_group_name_H-M 'P -3 m 1'
_symmetry_Int_Tables_number 164
_symmetry_space_group_name_Hall '-P 3 2"'
loop_
_atom_site_label
_atom_site_type_symbol
_atom_site_fract_x
_atom_site_fract_y
_atom_site_fract_z
_atom_site_occupancy
Rb1 Rb 0.3333 0.6667 0.1897 1
Na1 Na 0.0000 0.0000 0.0000 1
Hg1 Hg 0.1928 0.3855 0.6952 1
Pt1 Pt 0.0000 0.0000 0.5000 1

# Nb4Co7Ge6 GGA-PBE relaxed
# VASP energy = -7.257 eV per atom
# Spin magnetization = 4.66 μB per formula unit
# ΔH_f (0 K) = -0.33 eV per atom
data_Nb4Co7Ge6
_chemical_formula_sum 'Nb8 Co14 Ge12'
_cell_length_a 7.747
_cell_length_b 7.747
_cell_length_c 7.747
_cell_angle_alpha 90.00
_cell_angle_beta 90.00
_cell_angle_gamma 90.00
_symmetry_space_group_name_H-M 'I m -3 m'
_symmetry_Int_Tables_number 229
_symmetry_space_group_name_Hall '-I 4 2 3'
loop_
_atom_site_label
_atom_site_type_symbol
_atom_site_fract_x
_atom_site_fract_y
_atom_site_fract_z
_atom_site_occupancy
Nb1 Nb 0.250 0.250 0.250 1
Co1 Co 0.000 0.000 0.000 1
Co2 Co 0.000 0.250 0.500 1
Ge1 Ge 0.000 0.000 0.313 1

# Ag7Pt3 GGA-PBE relaxed
# VASP energy = -3.775 eV per atom
# Spin magnetization = 0.00 μB per formula unit
# ΔH_f (0 K) = 0.03 eV per atom
data_Ag7Pt3
_chemical_formula_sum 'Ag7 Pt3'
_cell_length_a 2.848
_cell_length_b 4.152
_cell_length_c 14.404
_cell_angle_alpha 90.00
_cell_angle_beta 90.00
_cell_angle_gamma 90.00
_symmetry_space_group_name_H-M 'P m m 2'
_symmetry_Int_Tables_number 25
_symmetry_space_group_name_Hall 'P 2 -2'
loop_
_atom_site_label
_atom_site_type_symbol
_atom_site_fract_x
_atom_site_fract_y
_atom_site_fract_z
_atom_site_occupancy
Ag1 Ag 0.000 0.000 0.000 1
Ag2 Ag 0.000 0.000 0.196 1
Ag3 Ag 0.000 0.000 0.590 1
Ag4 Ag 0.000 0.000 0.795 1
Ag5 Ag 0.500 0.500 0.490 1
Ag6 Ag 0.500 0.500 0.694 1
Ag7 Ag 0.500 0.500 0.899 1
Pt1 Pt 0.000 0.000 0.389 1
Pt2 Pt 0.500 0.500 0.100 1
Pt3 Pt 0.500 0.500 0.296 1